[1]
A PBEsol-optimized structure of K2CdIr, computed with SCAN.

a b c (Å): 2.821 5.113 6.680
angles (deg): 90.00 91.19 90.00
Space group Pm (No. 6)
One atom of each set of equivalent atoms:
1 K 0.000 0.000 0.000
2 K 0.036 0.500 0.679
3 Cd 0.516 0.500 0.241
4 Ir 0.519 0.000 0.442

Formation energy from the elements ... 0.515 eV per atom
Crystal system ... monoclinic

=====

[2]
A PBEsol-optimized structure of K2CdIr, computed with SCAN.

a b c (Å): 2.944 2.944 11.079
angles (deg): 90.00 90.00 90.00
Space group P4/mmm (No. 123)
One atom of each set of equivalent atoms:
1 K 0.000 0.000 0.218
2 Cd 0.500 0.500 0.500
3 Ir 0.500 0.500 0.000

Formation energy from the elements ... 0.607 eV per atom
Crystal system ... tetragonal

=====

[3]
A PBEsol-optimized structure of K2CdIr, computed with SCAN.

a b c (Å): 4.629 5.562 8.784
angles (deg): 90.00 90.00 90.00
Space group Imm2 (No. 44)
One atom of each set of equivalent atoms:
1 K 0.000 0.000 0.000
2 K 0.000 0.500 0.208
3 Cd 0.000 0.000 0.427
4 Ir 0.000 0.500 0.794

Formation energy from the elements ... 0.471 eV per atom
Crystal system ... orthorhombic

=====

[4]
A PBEsol-optimized structure of KCd2IrPb, computed with SCAN.

a b c (Å): 5.271 5.271 5.115
angles (deg): 90.00 90.00 90.00
Space group P4/mmm (No. 123)
One atom of each set of equivalent atoms:
1 K 0.000 0.000 0.000
2 Cd 0.000 0.500 0.500
3 Ir 0.500 0.500 0.500
4 Pb 0.500 0.500 0.000

Formation energy from the elements ... -0.135 eV per atom
Crystal system ... tetragonal

=====

[5]
A PBEsol-optimized structure of La4CdIr, computed with SCAN.

a b c (Å): 14.053 14.053 14.053
angles (deg): 90.00 90.00 90.00
Space group F-43m (No. 216)
One atom of each set of equivalent atoms:
1 La 0.000 0.000 0.191
2 La 0.059 0.250 0.250
3 La 0.152 0.152 0.652
4 Cd 0.079 0.079 0.421
5 Ir 0.141 0.141 0.859

Formation energy from the elements ... -0.591 eV per atom
Crystal system ... cubic

=====

[6]
A PBEsol-optimized structure of LaCd4Ir, computed with SCAN.

a b c (Å): 7.900 7.900 7.900
angles (deg): 90.00 90.00 90.00
Space group F-43m (No. 216)
One atom of each set of equivalent atoms:
1 La 0.000 0.000 0.000
2 Cd 0.124 0.124 0.624
3 Ir 0.250 0.250 0.250

Formation energy from the elements ... -0.111 eV per atom
Crystal system ... cubic

=====

[7]
A PBEsol-optimized structure of LiCdIr3, computed with SCAN.

a b c (Å): 4.855 4.855 4.855
angles (deg): 90.00 90.00 90.00
Space group Pm-3m (No. 221)
One atom of each set of equivalent atoms:
1 Li 0.000 0.000 0.000
2 Cd 0.500 0.500 0.500
3 Ir 0.000 0.500 0.500

Formation energy from the elements ... 2.303 eV per atom
Crystal system ... cubic

=====

[8]
A PBEsol-optimized structure of Li2CdIr2, computed with SCAN.

a b c (Å): 7.361 7.361 2.640
angles (deg): 90.00 90.00 90.00
Space group P4/mbm (No. 127)
One atom of each set of equivalent atoms:
1 Li 0.170 0.330 0.000
2 Cd 0.000 0.000 0.000
3 Ir 0.122 0.622 0.500

Formation energy from the elements ... 0.157 eV per atom
Crystal system ... tetragonal

=====

[9]
A PBEsol-optimized structure of Li2MnCdIr, computed with SCAN.

a b c (Å): 4.276 4.276 4.885
angles (deg): 90.00 90.00 90.00
Space group P4/mmm (No. 123)
One atom of each set of equivalent atoms:
1 Li 0.000 0.500 0.000
2 Mn 0.000 0.000 0.500
3 Cd 0.000 0.000 0.000
4 Ir 0.500 0.500 0.500

Formation energy from the elements ... 0.945 eV per atom
Crystal system ... tetragonal

=====

[10]
A PBEsol-optimized structure of LiCdIrRu2, computed with SCAN.

a b c (Å): 4.642 4.642 5.106
angles (deg): 90.00 90.00 90.00
Space group P4/mmm (No. 123)
One atom of each set of equivalent atoms:
1 Li 0.000 0.000 0.000
2 Cd 0.500 0.500 0.000
3 Ir 0.500 0.500 0.500
4 Ru 0.000 0.500 0.500

Formation energy from the elements ... 1.111 eV per atom
Crystal system ... tetragonal

=====

[11]
A PBEsol-optimized structure of LiCdSnIr2, computed with SCAN.

a b c (Å): 4.882 4.882 5.184
angles (deg): 90.00 90.00 90.00
Space group P4/mmm (No. 123)
One atom of each set of equivalent atoms:
1 Li 0.000 0.000 0.000
2 Cd 0.500 0.500 0.000
3 Sn 0.500 0.500 0.500
4 Ir 0.000 0.500 0.500

Formation energy from the elements ... 1.194 eV per atom
Crystal system ... tetragonal

=====

[12]
A PBEsol-optimized structure of Lu4CdIr, computed with SCAN.

a b c (Å): 13.116 13.116 13.116
angles (deg): 90.00 90.00 90.00
Space group F-43m (No. 216)
One atom of each set of equivalent atoms:
1 Lu 0.000 0.000 0.188
2 Lu 0.060 0.250 0.750
3 Lu 0.100 0.100 0.400
4 Cd 0.169 0.169 0.169
5 Ir 0.108 0.108 0.608

Formation energy from the elements ... -0.688 eV per atom
Crystal system ... cubic